A geometry-optimized Be2AlHg structure. Source: the Alexandria database, functional PBE-GGA. Values from VASP.

Quantum ESPRESSO input file:
```
&SYSTEM
  ibrav = 0, nat = 4, ntyp = 3
/
ATOMIC_SPECIES
Be 9.01 Be.upf
Hg 200.59 Hg.upf
Al 26.98 Al.upf
CELL_PARAMETERS angstrom
-3.1573 0.3051 1.7988
-1.1129 -1.9796 -1.6177
0.5644 -5.9578 2.0010
ATOMIC_POSITIONS crystal
Be 0.0000 0.0426 0.9492
Be 0.0000 0.4574 0.5508
Hg 0.5000 0.2500 0.2500
Al 0.5000 0.7500 0.7500
```

- space group = No. 10
- formation energy from the elements (eV/atom) = 0.402
- crystal system = monoclinic

---

A geometry-optimized BeAg structure. Source: the Alexandria database, functional PBE-GGA. Values from VASP.

Quantum ESPRESSO input file:
```
&SYSTEM
  ibrav = 0, nat = 4, ntyp = 2
/
ATOMIC_SPECIES
Be 9.01 Be.upf
Ag 107.87 Ag.upf
CELL_PARAMETERS angstrom
-1.7370 4.6303 0.6345
-3.2097 1.8177 -3.3546
0.9154 -3.5816 3.3458
ATOMIC_POSITIONS crystal
Be 0.8949 0.1449 0.2500
Ag 0.6414 0.3914 0.7500
Be 0.1051 0.8551 0.7500
Ag 0.3586 0.6086 0.2500
```

- space group = No. 74
- formation energy from the elements (eV/atom) = 0.204
- crystal system = orthorhombic

---

A geometry-optimized DyHo2ThS4 structure. Source: the Alexandria database, functional PBE-GGA. Values from VASP.

Quantum ESPRESSO input file:
```
&SYSTEM
  ibrav = 0, nat = 8, ntyp = 4
/
ATOMIC_SPECIES
Dy 162.50 Dy.upf
Ho 164.93 Ho.upf
S 32.06 S.upf
Th 232.04 Th.upf
CELL_PARAMETERS angstrom
-3.7362 -0.5558 -0.9700
-1.4998 -1.3292 6.5385
-1.6798 5.8217 3.1343
ATOMIC_POSITIONS crystal
Dy 0.0000 0.5000 0.5000
Ho 0.5000 0.0000 0.5000
S 0.5000 0.2432 0.7461
Ho 0.0000 0.0000 0.0000
S 0.5000 0.7568 0.2539
S 0.0000 0.2383 0.2603
Th 0.5000 0.5000 0.0000
S 0.0000 0.7617 0.7397
```

- space group = No. 10
- energy (eV/atom) = -6.64
- crystal system = monoclinic

---

A geometry-optimized LuHfIr2 structure. Source: the Alexandria database, functional PBE-GGA. Values from VASP.

Quantum ESPRESSO input file:
```
&SYSTEM
  ibrav = 0, nat = 4, ntyp = 3
/
ATOMIC_SPECIES
Ir 192.22 Ir.upf
Hf 178.49 Hf.upf
Lu 174.97 Lu.upf
CELL_PARAMETERS angstrom
-2.5265 1.6423 1.3199
1.2568 -0.4793 3.0022
3.4907 5.8004 -0.5352
ATOMIC_POSITIONS crystal
Ir 0.0000 0.0000 0.7678
Ir 0.0000 0.0000 0.2322
Hf 0.5000 0.5000 0.0000
Lu 0.5000 0.5000 0.5000
```

- space group = No. 123
- formation energy from the elements (eV/atom) = -0.965
- crystal system = tetragonal

---

A geometry-optimized Tl2PCl structure. Source: the Alexandria database, functional PBE-GGA. Values from VASP.

Quantum ESPRESSO input file:
```
&SYSTEM
  ibrav = 0, nat = 4, ntyp = 3
/
ATOMIC_SPECIES
Tl 204.38 Tl.upf
P 30.97 P.upf
Cl 35.45 Cl.upf
CELL_PARAMETERS angstrom
-0.2377 -7.6562 -0.1074
5.2313 -5.5683 -0.5608
-2.2356 6.5631 3.2578
ATOMIC_POSITIONS crystal
Tl 0.0000 0.0000 0.0000
P 0.7500 0.2500 0.5000
Cl 0.5000 0.5000 0.0000
Tl 0.2500 0.7500 0.5000
```

- space group = No. 119
- ΔE to the lowest computed polymorph (meV per atom) = 209
- crystal system = tetragonal

---

A geometry-optimized Zn3SiF structure. Source: the Alexandria database, functional PBE-GGA. Values from VASP.

Quantum ESPRESSO input file:
```
&SYSTEM
  ibrav = 0, nat = 5, ntyp = 3
/
ATOMIC_SPECIES
Zn 65.41 Zn.upf
Si 28.09 Si.upf
F 19.00 F.upf
CELL_PARAMETERS angstrom
4.3487 0.0000 0.0000
0.0000 4.3487 0.0000
0.0000 0.0000 4.3487
ATOMIC_POSITIONS crystal
Zn 0.5000 0.0000 0.0000
Si 0.5000 0.5000 0.5000
Zn 0.0000 0.0000 0.5000
Zn 0.0000 0.5000 0.0000
F 0.0000 0.0000 0.0000
```

- space group = No. 221
- ΔE to the lowest computed polymorph (meV per atom) = 143
- crystal system = cubic

---

A geometry-optimized Y3PtF structure. Source: the Alexandria database, functional PBE-GGA. Values from VASP.

Quantum ESPRESSO input file:
```
&SYSTEM
  ibrav = 0, nat = 5, ntyp = 3
/
ATOMIC_SPECIES
Y 88.91 Y.upf
F 19.00 F.upf
Pt 195.08 Pt.upf
CELL_PARAMETERS angstrom
4.7358 0.0000 0.0000
0.0000 4.7358 0.0000
0.0000 0.0000 4.7358
ATOMIC_POSITIONS crystal
Y 0.0000 0.5000 0.0000
Y 0.0000 0.0000 0.5000
Y 0.5000 0.0000 0.0000
F 0.0000 0.0000 0.0000
Pt 0.5000 0.5000 0.5000
```

- space group = No. 221
- ΔE to the lowest computed polymorph (meV per atom) = 0
- crystal system = cubic

---

A geometry-optimized CdHg2N structure. Source: the Alexandria database, functional PBE-GGA. Values from VASP.

Quantum ESPRESSO input file:
```
&SYSTEM
  ibrav = 0, nat = 4, ntyp = 3
/
ATOMIC_SPECIES
N 14.01 N.upf
Hg 200.59 Hg.upf
Cd 112.41 Cd.upf
CELL_PARAMETERS angstrom
-1.0456 -4.5148 -1.1861
-3.9599 -0.9587 -2.5067
0.3379 -1.4154 -4.5570
ATOMIC_POSITIONS crystal
N 0.0000 0.0000 0.0000
Hg 0.7500 0.7500 0.7500
Cd 0.5000 0.5000 0.5000
Hg 0.2500 0.2500 0.2500
```

- space group = No. 225
- ΔE to the lowest computed polymorph (meV per atom) = 411
- crystal system = cubic

---

A geometry-optimized MoPb structure. Source: the Alexandria database, functional PBE-GGA. Values from VASP.

Quantum ESPRESSO input file:
```
&SYSTEM
  ibrav = 0, nat = 2, ntyp = 2
/
ATOMIC_SPECIES
Pb 207.20 Pb.upf
Mo 95.94 Mo.upf
CELL_PARAMETERS angstrom
3.1317 0.0056 0.0000
-1.2348 2.8780 0.0000
0.0000 0.0000 4.5595
ATOMIC_POSITIONS crystal
Pb 0.5000 0.5000 0.5000
Mo 0.0000 0.0000 0.0000
```

- space group = No. 65
- ΔE to the lowest computed polymorph (meV per atom) = 606
- formation energy from the elements (eV/atom) = 0.932
- crystal system = orthorhombic

---

A geometry-optimized YCdCu2 structure. Source: the Alexandria database, functional PBE-GGA. Values from VASP.

Quantum ESPRESSO input file:
```
&SYSTEM
  ibrav = 0, nat = 4, ntyp = 3
/
ATOMIC_SPECIES
Cd 112.41 Cd.upf
Cu 63.55 Cu.upf
Y 88.91 Y.upf
CELL_PARAMETERS angstrom
3.3084 0.0000 0.0000
0.0000 3.3084 0.0000
0.0000 0.0000 6.8880
ATOMIC_POSITIONS crystal
Cd 0.5000 0.5000 0.8025
Cu 0.5000 0.5000 0.2016
Cu 0.0000 0.0000 0.0350
Y 0.0000 0.0000 0.4610
```

- space group = No. 99
- formation energy from the elements (eV/atom) = -0.086
- crystal system = tetragonal

---

A geometry-optimized Te2AuIO structure. Source: the Alexandria database, functional PBE-GGA. Values from VASP.

Quantum ESPRESSO input file:
```
&SYSTEM
  ibrav = 0, nat = 5, ntyp = 4
/
ATOMIC_SPECIES
I 126.90 I.upf
Au 196.97 Au.upf
Te 127.60 Te.upf
O 16.00 O.upf
CELL_PARAMETERS angstrom
-1.8623 0.4147 -5.1042
-4.4242 -2.8655 1.3814
-2.6105 4.6727 1.3321
ATOMIC_POSITIONS crystal
I 0.0000 0.0000 0.5000
Au 0.0000 0.0000 0.0000
Te 0.5000 0.0000 0.0000
Te 0.0000 0.5000 0.0000
O 0.5000 0.5000 0.5000
```

- space group = No. 123
- ΔE to the lowest computed polymorph (meV per atom) = 785
- crystal system = tetragonal

---

A geometry-optimized KZrW2 structure. Source: the Alexandria database, functional PBE-GGA. Values from VASP.

Quantum ESPRESSO input file:
```
&SYSTEM
  ibrav = 0, nat = 4, ntyp = 3
/
ATOMIC_SPECIES
W 183.84 W.upf
K 39.10 K.upf
Zr 91.22 Zr.upf
CELL_PARAMETERS angstrom
-4.9651 -3.8442 0.9045
-1.8763 -2.0503 5.7030
1.0666 4.3889 -4.4552
ATOMIC_POSITIONS crystal
W 0.5165 0.5165 0.0000
W 0.9835 0.9835 0.0000
K 0.2500 0.7500 0.5000
Zr 0.7500 0.2500 0.5000
```

- space group = No. 71
- ΔE to the lowest computed polymorph (meV per atom) = 700
- formation energy from the elements (eV/atom) = 1.384
- crystal system = orthorhombic

---

A geometry-optimized Ba3Sc4 structure. Source: the Alexandria database, functional PBE-GGA. Values from VASP.

Quantum ESPRESSO input file:
```
&SYSTEM
  ibrav = 0, nat = 7, ntyp = 2
/
ATOMIC_SPECIES
Ba 137.33 Ba.upf
Sc 44.96 Sc.upf
CELL_PARAMETERS angstrom
8.4276 -2.9667 -0.0052
8.4276 2.9667 -0.0052
7.3863 0.0000 5.0267
ATOMIC_POSITIONS crystal
Ba 0.0000 0.0000 0.0000
Sc 0.1504 0.1504 0.1504
Ba 0.4242 0.4242 0.4242
Sc 0.8496 0.8496 0.8496
Ba 0.5758 0.5758 0.5758
Sc 0.2748 0.2748 0.2748
Sc 0.7252 0.7252 0.7252
```

- space group = No. 166
- ΔE to the lowest computed polymorph (meV per atom) = 137
- formation energy from the elements (eV/atom) = 0.411
- crystal system = trigonal

---

A geometry-optimized Pr8Y2Tl structure. Source: the Alexandria database, functional PBE-GGA. Values from VASP.

Quantum ESPRESSO input file:
```
&SYSTEM
  ibrav = 0, nat = 11, ntyp = 3
/
ATOMIC_SPECIES
Pr 140.91 Pr.upf
Y 88.91 Y.upf
Tl 204.38 Tl.upf
CELL_PARAMETERS angstrom
5.1049 0.0000 0.0000
0.0000 8.1864 0.4876
-2.5525 -3.0334 8.7960
ATOMIC_POSITIONS crystal
Pr 0.4097 0.5574 0.8194
Y 0.2247 0.6331 0.4493
Pr 0.5903 0.4426 0.1806
Pr 0.0447 0.7276 0.0894
Pr 0.1367 0.1789 0.2735
Pr 0.3216 0.0918 0.6432
Pr 0.8633 0.8211 0.7265
Pr 0.9553 0.2724 0.9106
Y 0.7753 0.3669 0.5507
Tl 0.5000 0.0000 0.0000
Pr 0.6784 0.9082 0.3568
```

- space group = No. 12
- formation energy from the elements (eV/atom) = -0.046
- crystal system = monoclinic

---

A geometry-optimized NiIrRu2 structure. Source: the Alexandria database, functional PBE-GGA. Values from VASP.

Quantum ESPRESSO input file:
```
&SYSTEM
  ibrav = 0, nat = 4, ntyp = 3
/
ATOMIC_SPECIES
Ru 101.07 Ru.upf
Ir 192.22 Ir.upf
Ni 58.69 Ni.upf
CELL_PARAMETERS angstrom
-2.4728 -3.8789 -0.4586
-0.9076 -3.6927 -2.6290
2.9506 -3.0135 1.8692
ATOMIC_POSITIONS crystal
Ru 0.0009 0.0009 0.9995
Ru 0.7505 0.7505 0.7545
Ir 0.4989 0.4989 0.4956
Ni 0.2496 0.2496 0.2503
```

- space group = No. 8
- ΔE to the lowest computed polymorph (meV per atom) = 29
- formation energy from the elements (eV/atom) = 0.066
- crystal system = monoclinic

---

A geometry-optimized Sc4US6 structure. Source: the Alexandria database, functional PBE-GGA. Values from VASP.

Quantum ESPRESSO input file:
```
&SYSTEM
  ibrav = 0, nat = 22, ntyp = 3
/
ATOMIC_SPECIES
Sc 44.96 Sc.upf
S 32.06 S.upf
U 238.03 U.upf
CELL_PARAMETERS angstrom
3.6937 0.0000 0.0000
-1.8469 6.1026 0.0000
0.0000 0.0000 18.7243
ATOMIC_POSITIONS crystal
Sc 0.1396 0.2792 0.0395
S 0.9553 0.9106 0.6640
Sc 0.1396 0.2792 0.4605
S 0.9553 0.9106 0.8360
Sc 0.4096 0.8191 0.1245
S 0.5000 0.0000 0.0000
U 0.6588 0.3175 0.2500
S 0.3235 0.6471 0.2500
S 0.0447 0.0894 0.3360
S 0.0447 0.0894 0.1640
S 0.7680 0.5361 0.4107
Sc 0.8604 0.7208 0.9605
S 0.5000 0.0000 0.5000
Sc 0.4096 0.8191 0.3755
Sc 0.5904 0.1809 0.8755
U 0.3412 0.6825 0.7500
S 0.2320 0.4639 0.9107
S 0.2320 0.4639 0.5893
Sc 0.5904 0.1809 0.6245
S 0.7680 0.5361 0.0893
Sc 0.8604 0.7208 0.5395
S 0.6765 0.3529 0.7500
```

- space group = No. 63
- energy (eV/atom) = -7.37
- crystal system = orthorhombic

---

A geometry-optimized ThSCl structure. Source: the Alexandria database, functional PBE-GGA. Values from VASP.

Quantum ESPRESSO input file:
```
&SYSTEM
  ibrav = 0, nat = 3, ntyp = 3
/
ATOMIC_SPECIES
Cl 35.45 Cl.upf
Th 232.04 Th.upf
S 32.06 S.upf
CELL_PARAMETERS angstrom
-5.7298 -1.5820 3.3111
1.9889 0.1670 3.5216
-1.7739 3.3229 -1.4821
ATOMIC_POSITIONS crystal
Cl 0.0870 0.0000 0.0000
Th 0.3499 0.6667 0.3333
S 0.5632 0.3333 0.6667
```

- space group = No. 156
- energy (eV/atom) = -6.18
- crystal system = trigonal

---

A geometry-optimized Pr2ThSn3 structure. Source: the Alexandria database, functional PBE-GGA. Values from VASP.

Quantum ESPRESSO input file:
```
&SYSTEM
  ibrav = 0, nat = 12, ntyp = 3
/
ATOMIC_SPECIES
Pr 140.91 Pr.upf
Th 232.04 Th.upf
Sn 118.71 Sn.upf
CELL_PARAMETERS angstrom
7.8333 0.2105 0.3626
-1.5268 7.7534 -0.2917
-1.5268 -4.0971 6.5890
ATOMIC_POSITIONS crystal
Pr 0.7500 0.7516 0.2484
Th 0.7500 0.4155 0.5845
Pr 0.7500 0.0831 0.9169
Pr 0.2500 0.9169 0.0831
Sn 0.5010 0.3365 0.1720
Sn 0.5000 0.0000 0.5000
Th 0.2500 0.5845 0.4155
Sn 0.9990 0.8280 0.6635
Pr 0.2500 0.2484 0.7516
Sn 0.0010 0.1720 0.3365
Sn 0.4990 0.6635 0.8280
Sn 0.0000 0.5000 0.0000
```

- space group = No. 15
- formation energy from the elements (eV/atom) = -0.548
- crystal system = monoclinic

---

A geometry-optimized Pr4Sm5Th2 structure. Source: the Alexandria database, functional PBE-GGA. Values from VASP.

Quantum ESPRESSO input file:
```
&SYSTEM
  ibrav = 0, nat = 11, ntyp = 3
/
ATOMIC_SPECIES
Pr 140.91 Pr.upf
Th 232.04 Th.upf
Sm 150.36 Sm.upf
CELL_PARAMETERS angstrom
3.5286 0.0000 0.0000
0.0000 9.0586 0.1991
0.0000 0.6034 12.0138
ATOMIC_POSITIONS crystal
Pr 0.5000 0.3051 0.5472
Th 0.0000 0.0456 0.3705
Sm 0.0000 0.5000 0.0000
Sm 0.0000 0.5799 0.7147
Th 0.0000 0.9544 0.6295
Sm 0.0000 0.8006 0.1705
Sm 0.0000 0.4201 0.2853
Sm 0.0000 0.1994 0.8295
Pr 0.5000 0.8460 0.8958
Pr 0.5000 0.1540 0.1042
Pr 0.5000 0.6949 0.4528
```

- space group = No. 10
- formation energy from the elements (eV/atom) = 0.140
- crystal system = monoclinic

---

A geometry-optimized Np2TeCl4 structure. Source: the Alexandria database, functional PBE-GGA. Values from VASP.

Quantum ESPRESSO input file:
```
&SYSTEM
  ibrav = 0, nat = 7, ntyp = 3
/
ATOMIC_SPECIES
Cl 35.45 Cl.upf
Te 127.60 Te.upf
Np 237.00 Np.upf
CELL_PARAMETERS angstrom
4.2739 0.0000 0.0000
0.0000 5.3099 -1.0499
0.0000 -0.5442 11.1982
ATOMIC_POSITIONS crystal
Cl 0.5000 0.6142 0.2287
Cl 0.0000 0.1808 0.3619
Te 0.0000 0.0000 0.0000
Np 0.5000 0.1037 0.2078
Cl 0.0000 0.8192 0.6381
Np 0.5000 0.8963 0.7922
Cl 0.5000 0.3858 0.7713
```

- space group = No. 65
- energy (eV/atom) = -6.62
- crystal system = orthorhombic